First-principles (PBE) data for a geometry-optimized Rb2NpCr2S6 structure, as listed in Alexandria via LeMat-Bulk.

Values from the calculation:
Raw total energy (Ry/atom): -0.47194
V (Å³/f.u.): 274

Cell: 6.3674 6.3674 8.1038 Å, 97.04 97.04 120.61°
Fractional positions:
Rb  0.1627  0.8373  0.0000
Rb  0.8373  0.1627  0.0000
Np  0.0000  0.0000  0.5000
Cr  0.3334  0.6666  0.5000
Cr  0.6666  0.3334  0.5000
S  0.0546  0.4146  0.6741
S  0.3068  0.3068  0.3237
S  0.4146  0.0546  0.6741
S  0.5854  0.9454  0.3259
S  0.6932  0.6932  0.6763
S  0.9454  0.5854  0.3259

=====

First-principles (PBE) data for a geometry-optimized Rb2NpCrS4 structure, as listed in Alexandria via LeMat-Bulk.

Values from the calculation:
Raw total energy (Ry/atom): -0.45666
V (Å³/f.u.): 202

Cell: 6.6300 4.0027 7.9644 Å, 90.00 106.84 90.00°
Fractional positions:
Rb  0.0000  0.0000  0.0000
Rb  0.5000  0.5000  0.0000
Np  0.0000  0.5000  0.5000
Cr  0.5000  0.0000  0.5000
S  0.2473  0.0000  0.6870
S  0.2874  0.5000  0.3220
S  0.7126  0.5000  0.6780
S  0.7527  0.0000  0.3130

=====

Calculated values (kJ/mol of formula units) of formation energy (no corrections) for the records, taken in order: -1133, -839.
Calculated values (Mg/m³) of theoretical density for the records, taken in order: 4.27, 4.83.